# 1
YMnS2Cl after structural relaxation, computed with PBE.

abc: 5.270 5.270 5.075
angles: 90.00 90.00 90.00
Positions (direct):
Y: 0.000 0.000 0.000
Mn: 0.500 0.500 0.500
S: 0.000 0.500 0.000
S: 0.500 0.000 0.000
Cl: 0.000 0.000 0.500

Results
The volume comes out at 28.2 Å³ per atom. The total energy comes out at -28.8 eV for the cell shown. As for the energy relative to the elements, uncorrected: -0.617 eV/atom. The total magnetization comes out at 5.18 μB per formula unit. As for the space group: P4/mmm. For the relative energy among the computed polymorphs, the calculation gives 284.5 meV per atom.

---

# 2
YMnS2Cl after structural relaxation, computed with PBE.

abc: 4.717 4.717 4.499
angles: 90.00 90.00 90.00
Positions (direct):
Y: 0.000 0.000 0.000
Mn: 0.500 0.500 0.500
S: 0.000 0.500 0.500
S: 0.500 0.000 0.500
Cl: 0.500 0.500 0.000

Results
The volume comes out at 20.0 Å³ per atom. The total energy comes out at -30.2 eV for the cell shown. As for the energy relative to the elements, uncorrected: -0.902 eV/atom. The total magnetization comes out at 3.71 μB per formula unit. As for the space group: P4/mmm. For the relative energy among the computed polymorphs, the calculation gives 0.0 meV per atom.

---

# 3
MnZnSCl2 after structural relaxation, computed with PBE.

abc: 4.649 4.649 5.068
angles: 90.00 90.00 90.00
Positions (direct):
Mn: 0.000 0.000 0.000
Zn: 0.500 0.500 0.500
S: 0.500 0.500 0.000
Cl: 0.000 0.500 0.500
Cl: 0.500 0.000 0.500

Results
The volume comes out at 21.9 Å³ per atom. The total energy comes out at -19.0 eV for the cell shown. As for the energy relative to the elements, uncorrected: -0.137 eV/atom. The total magnetization comes out at 5.03 μB per formula unit. As for the space group: P4/mmm. For the relative energy among the computed polymorphs, the calculation gives 0.0 meV per atom.

---

# 4
MnZnSCl2 after structural relaxation, computed with PBE.

abc: 4.773 4.773 4.316
angles: 90.00 90.00 90.00
Positions (direct):
Mn: 0.000 0.000 0.000
Zn: 0.500 0.500 0.500
S: 0.000 0.000 0.500
Cl: 0.000 0.500 0.000
Cl: 0.500 0.000 0.000

Results
The volume comes out at 19.7 Å³ per atom. The total energy comes out at -18.4 eV for the cell shown. As for the energy relative to the elements, uncorrected: -0.029 eV/atom. The total magnetization comes out at 0.16 μB per formula unit. As for the space group: P4/mmm. For the relative energy among the computed polymorphs, the calculation gives 107.8 meV per atom.

---

# 5
MnZnS2Cl after structural relaxation, computed with PBE.

abc: 4.642 4.642 4.884
angles: 90.00 90.00 90.00
Positions (direct):
Mn: 0.000 0.000 0.000
Zn: 0.500 0.500 0.500
S: 0.000 0.500 0.500
S: 0.500 0.000 0.500
Cl: 0.500 0.500 0.000

Results
The volume comes out at 21.1 Å³ per atom. The total energy comes out at -19.6 eV for the cell shown. As for the energy relative to the elements, uncorrected: 0.191 eV/atom. The total magnetization comes out at 4.80 μB per formula unit. As for the space group: P4/mmm. For the relative energy among the computed polymorphs, the calculation gives 74.9 meV per atom.

---

# 6
MnZnS2Cl after structural relaxation, computed with PBE.

abc: 4.376 4.376 4.918
angles: 90.00 90.00 90.00
Positions (direct):
Mn: 0.000 0.000 0.000
Zn: 0.500 0.500 0.500
S: 0.000 0.500 0.000
S: 0.500 0.000 0.000
Cl: 0.000 0.000 0.500

Results
The volume comes out at 18.8 Å³ per atom. The total energy comes out at -20.0 eV for the cell shown. As for the energy relative to the elements, uncorrected: 0.116 eV/atom. The total magnetization comes out at 0.00 μB per formula unit. As for the space group: P4/mmm. For the relative energy among the computed polymorphs, the calculation gives 0.0 meV per atom.

---

# 7
MnZn2SCl after structural relaxation, computed with PBE.

abc: 4.670 4.670 5.000
angles: 90.00 90.00 90.00
Positions (direct):
Mn: 0.000 0.000 0.000
Zn: 0.000 0.500 0.500
Zn: 0.500 0.000 0.500
S: 0.500 0.500 0.000
Cl: 0.500 0.500 0.500

Results
The volume comes out at 21.8 Å³ per atom. The total energy comes out at -10.9 eV for the cell shown. As for the energy relative to the elements, uncorrected: 1.358 eV/atom. The total magnetization comes out at 0.31 μB per formula unit. As for the space group: P4/mmm.

---

# 8
ZrMnS2Cl after structural relaxation, computed with PBE.

abc: 5.011 5.011 5.012
angles: 90.00 90.00 90.00
Positions (direct):
Zr: 0.000 0.000 0.000
Mn: 0.500 0.500 0.500
S: 0.000 0.500 0.000
S: 0.500 0.000 0.000
Cl: 0.000 0.000 0.500

Results
The volume comes out at 25.2 Å³ per atom. The total energy comes out at -30.4 eV for the cell shown. As for the energy relative to the elements, uncorrected: -0.518 eV/atom. The total magnetization comes out at 5.73 μB per formula unit. As for the space group: P4/mmm. For the relative energy among the computed polymorphs, the calculation gives 0.0 meV per atom.

---

# 9
ZrMnSCl2 after structural relaxation, computed with PBE.

abc: 5.090 5.090 4.995
angles: 90.00 90.00 90.00
Positions (direct):
Zr: 0.000 0.000 0.000
Mn: 0.500 0.500 0.500
S: 0.000 0.000 0.500
Cl: 0.000 0.500 0.000
Cl: 0.500 0.000 0.000

Results
The volume comes out at 25.9 Å³ per atom. The total energy comes out at -28.4 eV for the cell shown. As for the energy relative to the elements, uncorrected: -0.567 eV/atom. The total magnetization comes out at 5.73 μB per formula unit. As for the space group: P4/mmm. For the relative energy among the computed polymorphs, the calculation gives 0.0 meV per atom.

---

# 10
ZrMnS2Cl after structural relaxation, computed with PBE.

abc: 4.637 4.637 4.473
angles: 90.00 90.00 90.00
Positions (direct):
Zr: 0.000 0.000 0.000
Mn: 0.500 0.500 0.500
S: 0.000 0.500 0.500
S: 0.500 0.000 0.500
Cl: 0.500 0.500 0.000

Results
The volume comes out at 19.2 Å³ per atom. The total energy comes out at -29.2 eV for the cell shown. As for the energy relative to the elements, uncorrected: -0.279 eV/atom. The total magnetization comes out at 2.37 μB per formula unit. As for the space group: P4/mmm. For the relative energy among the computed polymorphs, the calculation gives 239.6 meV per atom.

---

# 11
ZrMnSCl2 after structural relaxation, computed with PBE.

abc: 4.436 4.436 4.580
angles: 90.00 90.00 90.00
Positions (direct):
Zr: 0.000 0.000 0.000
Mn: 0.500 0.500 0.500
S: 0.500 0.500 0.000
Cl: 0.000 0.500 0.500
Cl: 0.500 0.000 0.500

Results
The volume comes out at 18.0 Å³ per atom. The total energy comes out at -25.6 eV for the cell shown. As for the energy relative to the elements, uncorrected: -0.005 eV/atom. The total magnetization comes out at 0.00 μB per formula unit. As for the space group: P4/mmm. For the relative energy among the computed polymorphs, the calculation gives 561.9 meV per atom.

---

# 12
MnSbCl2 after structural relaxation, computed with PBE.

abc: 5.561 3.349 5.593
angles: 90.00 101.32 90.00
Positions (direct):
Mn: 0.000 0.000 0.000
Sb: 0.657 0.500 0.710
Cl: 0.324 0.500 0.034
Cl: 0.956 0.000 0.409

Results
The volume comes out at 25.5 Å³ per atom. The total energy comes out at -18.7 eV for the cell shown. As for the energy relative to the elements, uncorrected: -0.441 eV/atom. The total magnetization comes out at 3.98 μB per formula unit. As for the space group: Pm. For the relative energy among the computed polymorphs, the calculation gives 67.3 meV per atom.